No. 1
This record from Alexandria describes a geometry-optimized PrP2RhO8 structure. The functional is PBE-GGA.

Cell: 5.1370 5.1370 6.9292 Å, 90.00 90.00 120.00°
Space group P-3m1 (No. 164)
One atom of each set of equivalent atoms:
Pr 0.0000 0.0000 0.0000 (multiplicity 1)
P 0.3333 0.6667 0.2357 (multiplicity 2)
Rh 0.0000 0.0000 0.5000 (multiplicity 1)
O 0.1664 0.3327 0.2977 (multiplicity 6)
O 0.3333 0.6667 0.0136 (multiplicity 2)

Properties
The volume is 158.4 Å³ per cell. The calculation puts the uncorrected formation energy at -2.159 eV per atom. The value obtained for the theoretical density is 4.55 g/cm³.

***

No. 2
This record from Alexandria describes a geometry-optimized Pr8P3S3O structure. The functional is PBE-GGA.

Cell: 8.1709 8.1709 20.2009 Å, 90.00 90.00 120.00°
Space group R-3m (No. 166, hexagonal axes)
One atom of each set of equivalent atoms:
Pr 0.0000 0.0000 0.2481 (multiplicity 6)
Pr 0.0203 0.5102 0.2433 (multiplicity 18)
P 0.0000 0.5000 0.5000 (multiplicity 9)
S 0.0000 0.5000 0.0000 (multiplicity 9)
O 0.0000 0.0000 0.5000 (multiplicity 3)

Properties
The volume is 1168.0 Å³ per cell. The calculation puts the uncorrected formation energy at -1.747 eV per atom. The value obtained for the theoretical density is 5.68 g/cm³. The density of states at the Fermi level comes out at 24.37 states/eV/cell.

***

No. 3
This record from Alexandria describes a geometry-optimized Pr4PS2O structure. The functional is PBE-GGA.

Cell: 6.903 4.004 7.064 Å, 90.00 109.12 90.00°
Space group P2/m (No. 10)
One atom of each set of equivalent atoms:
Pr 0.230 0.000 0.225 (multiplicity 2)
Pr 0.239 0.500 0.769 (multiplicity 2)
P 0.500 0.000 0.000 (multiplicity 1)
S 0.000 0.000 0.500 (multiplicity 1)
S 0.500 0.500 0.500 (multiplicity 1)
O 0.000 0.500 0.000 (multiplicity 1)

Properties
The volume is 184.5 Å³ per cell. The calculation puts the uncorrected formation energy at -2.013 eV per atom. The value obtained for the theoretical density is 6.07 g/cm³. The density of states at the Fermi level comes out at 3.53 states/eV/cell.

***

No. 4
This record from Alexandria describes a geometry-optimized Pr3SbPO structure. The functional is PBE-GGA.

Cell: 8.869 4.241 9.237 Å, 90.00 102.02 90.00°
Space group P2_1/m (No. 11)
One atom of each set of equivalent atoms:
Pr 0.074 0.250 0.341 (multiplicity 2)
Pr 0.327 0.250 0.980 (multiplicity 2)
Pr 0.387 0.750 0.648 (multiplicity 2)
Sb 0.324 0.750 0.276 (multiplicity 2)
P 0.157 0.250 0.660 (multiplicity 2)
O 0.411 0.750 0.910 (multiplicity 2)

Properties
The volume is 339.8 Å³ per cell. The calculation puts the uncorrected formation energy at -1.814 eV per atom. The value obtained for the theoretical density is 5.78 g/cm³. The density of states at the Fermi level comes out at 3.99 states/eV/cell.

***

No. 5
This record from Alexandria describes a geometry-optimized Pr4SbP2O structure. The functional is PBE-GGA.

Cell: 4.219 14.003 14.560 Å, 90.00 90.00 90.00°
Space group Cmcm (No. 63)
One atom of each set of equivalent atoms:
Pr 0.000 0.000 0.000 (multiplicity 4)
Pr 0.000 0.262 0.121 (multiplicity 8)
Pr 0.000 0.425 0.750 (multiplicity 4)
Sb 0.000 0.107 0.750 (multiplicity 4)
P 0.000 0.366 0.556 (multiplicity 8)
O 0.000 0.160 0.250 (multiplicity 4)

Properties
The volume is 860.2 Å³ per cell. The calculation puts the uncorrected formation energy at -1.739 eV per atom. The value obtained for the theoretical density is 5.89 g/cm³. The density of states at the Fermi level comes out at 12.49 states/eV/cell.

***

No. 6
This record from Alexandria describes a geometry-optimized PrScP2O8 structure. The functional is PBE-GGA.

Cell: 5.2007 5.2007 6.9238 Å, 90.00 90.00 120.00°
Space group P-3 (No. 147)
One atom of each set of equivalent atoms:
Pr 0.0000 0.0000 0.0000 (multiplicity 1)
Sc 0.0000 0.0000 0.5000 (multiplicity 1)
P 0.3333 0.6667 0.7776 (multiplicity 2)
O 0.1698 0.3422 0.7032 (multiplicity 6)
O 0.3333 0.6667 0.9991 (multiplicity 2)

Properties
The volume is 162.2 Å³ per cell. The calculation puts the uncorrected formation energy at -2.880 eV per atom. The value obtained for the theoretical density is 3.85 g/cm³. The density of states at the Fermi level comes out at 0.00 states/eV/cell.

***

No. 7
This record from Alexandria describes a geometry-optimized Pr4PSe2O structure. The functional is PBE-GGA.

Cell: 6.977 4.059 7.301 Å, 90.00 108.78 90.00°
Space group P2/m (No. 10)
One atom of each set of equivalent atoms:
Pr 0.225 0.000 0.212 (multiplicity 2)
Pr 0.243 0.500 0.783 (multiplicity 2)
P 0.500 0.000 0.000 (multiplicity 1)
Se 0.000 0.000 0.500 (multiplicity 1)
Se 0.500 0.500 0.500 (multiplicity 1)
O 0.000 0.500 0.000 (multiplicity 1)

Properties
The volume is 195.8 Å³ per cell. The calculation puts the uncorrected formation energy at -1.931 eV per atom. The value obtained for the theoretical density is 6.52 g/cm³. The density of states at the Fermi level comes out at 3.29 states/eV/cell.

***

No. 8
This record from Alexandria describes a geometry-optimized Pr6P2Se3O structure. The functional is PBE-GGA.

Cell: 18.243 4.115 8.389 Å, 90.00 105.45 90.00°
Space group C2/m (No. 12)
One atom of each set of equivalent atoms:
Pr 0.002 0.000 0.218 (multiplicity 4)
Pr 0.148 0.500 0.084 (multiplicity 4)
Pr 0.170 0.500 0.574 (multiplicity 4)
P 0.164 0.000 0.330 (multiplicity 4)
Se 0.000 0.500 0.500 (multiplicity 2)
Se 0.171 0.000 0.838 (multiplicity 4)
O 0.000 0.500 0.000 (multiplicity 2)

Properties
The volume is 607.0 Å³ per cell. The calculation puts the uncorrected formation energy at -1.873 eV per atom. The value obtained for the theoretical density is 6.35 g/cm³. The density of states at the Fermi level comes out at 8.06 states/eV/cell.

***

No. 9
This record from Alexandria describes a geometry-optimized PrSmP2O8 structure. The functional is PBE-GGA.

Cell: 5.3118 5.3118 7.3224 Å, 90.00 90.00 120.00°
Space group P-3m1 (No. 164)
One atom of each set of equivalent atoms:
Pr 0.0000 0.0000 0.0000 (multiplicity 1)
Sm 0.0000 0.0000 0.5000 (multiplicity 1)
P 0.3333 0.6667 0.7999 (multiplicity 2)
O 0.1746 0.3492 0.7264 (multiplicity 6)
O 0.3333 0.6667 0.0087 (multiplicity 2)

Properties
The volume is 178.9 Å³ per cell. The calculation puts the uncorrected formation energy at -2.872 eV per atom. The value obtained for the theoretical density is 4.47 g/cm³. The density of states at the Fermi level comes out at 0.00 states/eV/cell.

***

No. 10
This record from Alexandria describes a geometry-optimized PrSnP2O8 structure. The functional is PBE-GGA.

Cell: 5.2500 5.2500 7.2883 Å, 90.00 90.00 120.00°
Space group P-3 (No. 147)
One atom of each set of equivalent atoms:
Pr 0.0000 0.0000 0.0000 (multiplicity 1)
Sn 0.0000 0.0000 0.5000 (multiplicity 1)
P 0.3333 0.6667 0.7903 (multiplicity 2)
O 0.1693 0.8273 0.7225 (multiplicity 6)
O 0.3333 0.6667 0.0008 (multiplicity 2)

Properties
The volume is 174.0 Å³ per cell. The calculation puts the uncorrected formation energy at -2.299 eV per atom. The value obtained for the theoretical density is 4.29 g/cm³. The density of states at the Fermi level comes out at 3.54 states/eV/cell.